Record 1
# LaHoTh2Bi5 | Alexandria via LeMat-Bulk | GGA-PBE | optimized geometry
# DFT formation energy: -0.03 eV/atom
# raw total energy: -4.892 eV per atom
data_LaHoTh2Bi5
_cell_length_a 5.4051
_cell_length_b 5.4051
_cell_length_c 11.9769
_cell_angle_alpha 90.00
_cell_angle_beta 90.00
_cell_angle_gamma 90.00
_space_group_name_H-M_alt 'P 4/m m m'
_space_group_IT_number 123
_space_group_name_Hall '-P 4 2'
loop_
_atom_site_label
_atom_site_fract_x
_atom_site_fract_y
_atom_site_fract_z
La1 0.0000 0.0000 0.0000
Ho1 0.0000 0.0000 0.5000
Th1 0.5000 0.5000 0.3012
Bi1 0.0000 0.0000 0.2528
Bi2 0.0000 0.5000 0.5000
Bi3 0.5000 0.5000 0.0000



Record 2
# TlIrNO2 | Alexandria via LeMat-Bulk | GGA-PBE | optimized geometry
# raw total energy: -4.094 eV per atom
# formation energy from raw total energies: 1.7995 eV per atom
data_TlIrNO2
_cell_length_a 4.2522
_cell_length_b 4.2522
_cell_length_c 4.2506
_cell_angle_alpha 90.00
_cell_angle_beta 90.00
_cell_angle_gamma 90.00
_space_group_name_H-M_alt 'P 4/m m m'
_space_group_IT_number 123
_space_group_name_Hall '-P 4 2'
loop_
_atom_site_label
_atom_site_fract_x
_atom_site_fract_y
_atom_site_fract_z
Tl1 0.0000 0.0000 0.0000
Ir1 0.5000 0.5000 0.5000
N1 0.0000 0.0000 0.5000
O1 0.0000 0.5000 0.0000



Record 3
# NbTl2Os3O12 | Alexandria via LeMat-Bulk | GGA-PBE | optimized geometry
# raw total energy: -7.248 eV per atom
# formation energy from raw total energies: -1.2485 eV per atom
data_NbTl2Os3O12
_cell_length_a 7.2275
_cell_length_b 7.2275
_cell_length_c 18.2458
_cell_angle_alpha 90.00
_cell_angle_beta 90.00
_cell_angle_gamma 120.00
_space_group_name_H-M_alt 'R -3 m'
_space_group_IT_number 166
_space_group_name_Hall '-R 3 2"'
loop_
_atom_site_label
_atom_site_fract_x
_atom_site_fract_y
_atom_site_fract_z
Nb1 0.0000 0.0000 0.0000
Tl1 0.0000 0.0000 0.3514
Os1 0.0000 0.5000 0.5000
O1 0.0657 0.5329 0.6052
O2 0.0822 0.5411 0.8476



Record 4
# YHo3Tm5 | Alexandria via LeMat-Bulk | GGA-PBE | optimized geometry
# DFT formation energy: 0.23 eV/atom
# raw total energy: -4.496 eV per atom
data_YHo3Tm5
_cell_length_a 16.1064
_cell_length_b 8.7809
_cell_length_c 10.8655
_cell_angle_alpha 90.00
_cell_angle_beta 132.05
_cell_angle_gamma 90.00
_space_group_name_H-M_alt 'C 1 2/c 1'
_space_group_IT_number 15
loop_
_space_group_symop_operation_xyz
'x,y,z'
'-x,-y,-z'
'-x,y,-z+1/2'
'x,-y,z+1/2'
'x+1/2,y+1/2,z'
'-x+1/2,-y+1/2,-z'
'-x+1/2,y+1/2,-z+1/2'
'x+1/2,-y+1/2,z+1/2'
loop_
_atom_site_label
_atom_site_fract_x
_atom_site_fract_y
_atom_site_fract_z
Y1 0.0000 0.1694 0.2500
Ho1 0.0000 0.5000 0.0000
Ho2 0.2171 0.4619 0.4669
Tm1 0.0000 0.2729 0.7500
Tm2 0.0960 0.1184 0.6179
Tm3 0.1818 0.2153 0.1620



Record 5
# Ac4PuPt5 | Alexandria via LeMat-Bulk | GGA-PBE | optimized geometry
# DFT formation energy: -1.06 eV/atom
# raw total energy: -7.158 eV per atom
data_Ac4PuPt5
_cell_length_a 9.6908
_cell_length_b 9.6908
_cell_length_c 6.1265
_cell_angle_alpha 90.00
_cell_angle_beta 90.00
_cell_angle_gamma 90.00
_space_group_name_H-M_alt 'I 4/m'
_space_group_IT_number 87
_space_group_name_Hall '-I 4'
loop_
_atom_site_label
_atom_site_fract_x
_atom_site_fract_y
_atom_site_fract_z
Ac1 0.0975 0.7014 0.0000
Pu1 0.0000 0.0000 0.5000
Pt1 0.0000 0.0000 0.0000
Pt2 0.0952 0.7120 0.5000



Record 6
# ScFeHg2 | Alexandria via LeMat-Bulk | GGA-PBE | optimized geometry
# DFT formation energy: 0.05 eV/atom
# raw total energy: -3.801 eV per atom
data_ScFeHg2
_cell_length_a 3.2455
_cell_length_b 3.7630
_cell_length_c 6.2657
_cell_angle_alpha 90.00
_cell_angle_beta 90.00
_cell_angle_gamma 90.00
_space_group_name_H-M_alt 'P m m m'
_space_group_IT_number 47
loop_
_space_group_symop_operation_xyz
'x,y,z'
'-x,-y,-z'
'-x,-y,z'
'x,y,-z'
'x,-y,-z'
'-x,y,z'
'-x,y,-z'
'x,-y,z'
loop_
_atom_site_label
_atom_site_fract_x
_atom_site_fract_y
_atom_site_fract_z
Sc1 0.0000 0.0000 0.0000
Fe1 0.0000 0.0000 0.5000
Hg1 0.5000 0.5000 0.2670